DFT (PBE) results for crystalline Ho6BiTe2 at its relaxed geometry.

a = 13.003 Å, b = 5.996 Å, c = 9.288 Å
α = 90.00°, β = 131.88°, γ = 90.00°
Space group C2/m (No. 12)
Asymmetric unit:
Ho: 0.054 0.000 0.224 [4 per cell]
Ho: 0.083 0.500 0.415 [4 per cell]
Ho: 0.176 0.500 0.140 [4 per cell]
Bi: 0.000 0.000 0.500 [2 per cell]
Te: 0.245 0.500 0.860 [4 per cell]

Computed properties:
Total energy   -4.829 eV per atom
N(E_F)   14.74 states/eV per cell
M_tot   0.0 μB/f.u.